Entry 1:
13
Lattice="-5.343 5.343 3.095 5.343 -5.343 3.095 5.343 5.343 -3.095" Properties=species:S:1:pos:R:3 comment="PBE BaMg4Sn8, relaxed" magmom_total_mub_per_cell=0.0 e_tot_ev_per_fu=-42.532 formation_enthalpy_0k_ev_per_atom=-0.170 pbc="T T T"
Ba 0.000 0.000 0.000
Mg 2.672 2.672 -1.548
Mg 2.672 -2.672 1.548
Mg -2.672 2.672 1.548
Mg 2.672 2.672 1.548
Sn 3.755 0.000 0.000
Sn 6.932 0.000 0.000
Sn 5.343 3.055 0.000
Sn 0.000 3.755 0.000
Sn 3.055 5.343 0.000
Sn 2.288 0.000 3.095
Sn 0.000 6.932 0.000
Sn 0.000 2.288 3.095

Entry 2:
6
Lattice="0.000 3.801 3.801 3.801 0.000 3.801 3.801 3.801 0.000" Properties=species:S:1:pos:R:3 comment="PBE Ru4PbBr, relaxed" magmom_total_mub_per_cell=6.1 e_tot_ev_per_fu=-36.618 raw_formation_energy_mev_per_atom=977.7 pbc="T T T"
Ru 0.944 0.944 0.944
Ru 2.856 2.856 0.944
Ru 2.856 0.944 2.856
Ru 0.944 2.856 2.856
Pb 3.801 3.801 3.801
Br 5.701 5.701 5.701

Entry 3:
4
Lattice="2.181 1.259 7.773 -2.181 1.259 7.773 0.000 -2.518 7.773" Properties=species:S:1:pos:R:3 comment="PBE Ca2AsI, relaxed" magmom_total_mub_per_cell=0.0 e_tot_ev_per_fu=-15.649 raw_formation_energy_mev_per_atom=-1361.6 pbc="T T T"
Ca 0.000 0.000 0.000
Ca 0.000 0.000 4.810
As 0.000 0.000 14.064
I 0.000 0.000 18.068

Entry 4:
4
Lattice="0.000 3.617 3.617 3.617 0.000 3.617 3.617 3.617 0.000" Properties=species:S:1:pos:R:3 comment="PBE DyTmSnPt, relaxed" magmom_total_mub_per_cell=0.0 e_tot_ev_per_fu=-22.562 formation_enthalpy_0k_ev_per_atom=-0.861 pbc="T T T"
Dy 0.000 0.000 0.000
Tm 3.617 3.617 3.617
Sn 1.808 1.808 1.808
Pt 5.425 5.425 5.425

Entry 5:
5
Lattice="4.377 0.000 0.000 0.000 4.377 0.000 0.000 0.000 4.377" Properties=species:S:1:pos:R:3 comment="PBE CoCu3Cl, relaxed" magmom_total_mub_per_cell=1.4 e_tot_ev_per_fu=-15.498 raw_formation_energy_mev_per_atom=1148.7 e_above_lowest_polymorph_ev_per_atom=0.203 pbc="T T T"
Co 0.000 0.000 0.000
Cu 0.000 2.188 2.188
Cu 2.188 0.000 2.188
Cu 2.188 2.188 0.000
Cl 2.188 2.188 2.188

Entry 6:
28
Lattice="7.707 0.000 0.000 0.000 4.675 0.000 0.000 0.000 10.013" Properties=species:S:1:pos:R:3 comment="PBE PuCo6, relaxed" magmom_total_mub_per_cell=37.9 e_tot_ev_per_fu=-56.250 formation_enthalpy_0k_ev_per_atom=0.102 pbc="T T T"
Pu 1.856 1.169 0.524
Pu 1.997 3.506 5.530
Pu 5.710 1.169 4.483
Pu 5.851 3.506 9.489
Co 0.467 3.506 0.853
Co 0.520 0.039 3.070
Co 0.520 2.298 3.070
Co 0.809 1.169 5.207
Co 1.100 3.506 8.469
Co 1.422 1.169 7.575
Co 2.432 3.506 2.568
Co 2.753 1.169 3.463
Co 3.045 3.506 0.201
Co 3.333 2.377 8.077
Co 3.333 4.635 8.077
Co 3.386 1.169 5.860
Co 4.321 3.506 4.153
Co 4.374 0.039 1.936
Co 4.374 2.298 1.936
Co 4.662 1.169 9.812
Co 4.954 3.506 6.550
Co 5.275 1.169 7.445
Co 6.285 3.506 2.438
Co 6.607 1.169 1.544
Co 6.898 3.506 4.805
Co 7.187 2.377 6.942
Co 7.187 4.635 6.942
Co 7.240 1.169 9.160

Entry 7:
5
Lattice="6.171 0.000 0.000 0.000 6.171 0.000 0.000 0.000 6.171" Properties=species:S:1:pos:R:3 comment="PBE RbAlZn3, relaxed" magmom_total_mub_per_cell=0.0 e_tot_ev_per_fu=-2.814 formation_enthalpy_0k_ev_per_atom=1.144 e_above_lowest_polymorph_ev_per_atom=0.913 pbc="T T T"
Rb 0.000 0.000 0.000
Al 3.086 3.086 3.086
Zn 0.000 0.000 3.086
Zn 0.000 3.086 0.000
Zn 3.086 0.000 0.000

Entry 8:
8
Lattice="3.560 0.000 0.000 0.000 6.466 0.000 0.000 0.000 9.162" Properties=species:S:1:pos:R:3 comment="PBE RhPb3, relaxed" magmom_total_mub_per_cell=0.0 e_tot_ev_per_fu=-18.389 formation_enthalpy_0k_ev_per_atom=0.022 pbc="T T T"
Rh 0.890 1.616 1.667
Rh 2.670 4.849 7.496
Pb 0.890 0.019 6.053
Pb 0.890 3.214 6.053
Pb 0.890 4.849 0.498
Pb 2.670 1.616 8.664
Pb 2.670 3.252 3.110
Pb 2.670 6.447 3.110

Entry 9:
5
Lattice="5.099 0.000 0.000 0.000 5.099 0.000 0.000 0.000 5.172" Properties=species:S:1:pos:R:3 comment="PBE LaY2SnB, relaxed" magmom_total_mub_per_cell=0.0 e_tot_ev_per_fu=-30.730 formation_enthalpy_0k_ev_per_atom=-0.439 pbc="T T T"
La 0.000 0.000 0.000
Y 0.000 2.549 2.586
Y 2.549 0.000 2.586
Sn 2.549 2.549 0.000
B 0.000 0.000 2.586

Entry 10:
8
Lattice="-3.285 3.285 2.471 3.285 -3.285 2.471 3.285 3.285 -2.471" Properties=species:S:1:pos:R:3 comment="PBE LiNi2P, relaxed" magmom_total_mub_per_cell=0.0 e_tot_ev_per_fu=-19.548 formation_enthalpy_0k_ev_per_atom=-0.166 pbc="T T T"
Li 0.000 0.000 0.000
Li 0.000 3.285 1.236
Ni 1.642 -1.192 1.854
Ni 2.092 1.642 0.618
Ni 1.642 4.477 -0.618
Ni 1.192 1.642 3.089
P 3.285 0.000 1.236
P 0.000 0.000 2.471

Entry 11:
20
Lattice="4.626 -7.705 0.000 4.626 7.705 0.000 -1.492 0.000 9.783" Properties=species:S:1:pos:R:3 comment="PBE TbPr2Nd6Tm, relaxed" magmom_total_mub_per_cell=0.0 e_tot_ev_per_fu=-46.133 formation_enthalpy_0k_ev_per_atom=0.114 pbc="T T T"
Tb 3.507 7.416 7.337
Tb 4.253 -7.416 2.446
Pr 1.465 0.771 5.305
Pr 2.211 -0.771 0.414
Pr 5.549 0.771 9.370
Pr 6.295 -0.771 4.478
Nd 1.694 4.311 6.754
Nd 3.959 4.843 0.539
Nd 4.547 4.843 4.352
Nd 2.362 1.609 8.618
Nd 5.319 4.311 7.921
Nd 4.651 1.609 6.057
Nd 3.108 -1.609 3.726
Nd 2.440 -4.311 1.862
Nd 5.398 -1.609 1.165
Nd 3.212 -4.843 5.431
Nd 3.801 -4.843 9.244
Nd 6.066 -4.311 3.029
Tm 4.253 1.414 2.446
Tm 3.507 -1.414 7.337

Entry 12:
8
Lattice="-2.173 2.173 11.054 2.173 -2.173 11.054 2.173 2.173 -11.054" Properties=species:S:1:pos:R:3 comment="PBE Sr2GaMo, relaxed" magmom_total_mub_per_cell=0.0 e_tot_ev_per_fu=-13.069 formation_enthalpy_0k_ev_per_atom=1.038 pbc="T T T"
Sr 3.259 1.085 -2.764
Sr 1.085 1.086 2.764
Sr -1.086 1.088 8.291
Sr 1.088 1.086 13.818
Ga 0.000 0.000 0.000
Ga 0.000 2.173 5.527
Mo 2.173 0.000 5.527
Mo 0.000 0.000 11.054